No. 1
This record from Alexandria via LeMat-Bulk describes La2Pr5SmSc after structural relaxation. The functional is PBE-GGA.

Summary:
The magnetization is 0.000 μB per atom. The calculation puts the total DFT energy (no corrections) at -4.73 eV/atom.

Cell: 8.603 8.603 10.472 Å, 114.25 114.25 90.00°
Sites, in units of the cell vectors:
La1 0.124 0.376 0.000
La2 0.624 0.124 0.000
La3 0.376 0.876 0.000
La4 0.876 0.624 0.000
Pr1 0.927 0.427 0.292
Pr2 0.634 0.134 0.708
Pr3 0.073 0.573 0.708
Pr4 0.134 0.073 0.708
Pr5 0.573 0.634 0.708
Pr6 0.866 0.927 0.292
Pr7 0.427 0.366 0.292
Pr8 0.366 0.866 0.292
Pr9 0.500 0.500 0.000
Pr10 0.000 0.000 0.000
Sm1 0.250 0.250 0.500
Sm2 0.750 0.750 0.500
Sc1 0.250 0.750 0.500
Sc2 0.750 0.250 0.500

No. 2
This record from Alexandria via LeMat-Bulk describes MnTc2Os after structural relaxation. The functional is PBE-GGA.

Summary:
The magnetization is 0.601 μB per atom. The value obtained for the energy above the most stable polymorph in this dataset is 13.0 kJ per mole of atoms. The calculation puts the total DFT energy (no corrections) at -10.09 eV/atom.

Cell: 5.143 5.143 5.143 Å, 147.11 129.72 61.40°
Site moments in Bohr magnetons follow the coordinates.
Sites, in units of the cell vectors:
Mn1 0.501 0.501 0.000  2.49
Os1 0.270 0.770 0.500  -0.03
Tc1 0.999 0.999 0.000  0.01
Tc2 0.730 0.230 0.500  -0.12

No. 3
This record from Alexandria via LeMat-Bulk describes TlCdBiS3 after structural relaxation. The functional is PBE-GGA.

Summary:
The magnetization is 0.000 μB per atom. The raw formation energy is -0.43 eV/atom. The calculation puts the total DFT energy (no corrections) at -3.68 eV/atom.

Cell: 4.187 8.918 9.632 Å, 101.19 90.00 90.00°
Sites, in units of the cell vectors:
Tl1 0.750 0.813 0.782
Tl2 0.250 0.187 0.218
Cd1 0.250 0.094 0.607
Cd2 0.750 0.906 0.393
Bi1 0.250 0.657 0.135
Bi2 0.750 0.343 0.865
S1 0.250 0.796 0.490
S2 0.750 0.866 0.123
S3 0.750 0.429 0.142
S4 0.750 0.204 0.510
S5 0.250 0.571 0.858
S6 0.250 0.134 0.877

No. 4
This record from Alexandria via LeMat-Bulk describes Sm2Ga3SnAu4 after structural relaxation. The functional is PBE-GGA.

Summary:
The magnetization is 0.000 μB per atom. The calculation puts the total DFT energy (no corrections) at -4.16 eV/atom.

Cell: 4.385 4.385 11.149 Å, 90.00 90.00 90.00°
Sites, in units of the cell vectors:
Sm1 0.500 0.000 0.232
Sm2 0.000 0.500 0.768
Ga1 0.000 0.000 0.500
Ga2 0.500 0.000 0.872
Ga3 0.000 0.500 0.128
Sn1 0.500 0.500 0.500
Au1 0.500 0.500 0.000
Au2 0.000 0.000 0.000
Au3 0.500 0.000 0.649
Au4 0.000 0.500 0.351

No. 5
This record from Alexandria via LeMat-Bulk describes BeSnSe after structural relaxation. The functional is PBE-GGA.

Summary:
The magnetization is 0.000 μB per atom. The raw formation energy is -0.25 eV/atom. The value obtained for the energy above the most stable polymorph in this dataset is 11.0 kJ per mole of atoms. The calculation puts the total DFT energy (no corrections) at -3.99 eV/atom.

Cell: 6.339 3.533 8.877 Å, 90.00 136.08 90.00°
Sites, in units of the cell vectors:
Be1 0.192 0.247 0.176
Be2 0.692 0.753 0.676
Sn1 0.710 0.710 0.346
Sn2 0.210 0.290 0.846
Se1 0.734 0.253 0.842
Se2 0.234 0.747 0.342

No. 6
This record from Alexandria via LeMat-Bulk describes Te2RuCI after structural relaxation. The functional is PBE-GGA.

Summary:
The magnetization is 0.002 μB per atom. The raw formation energy is 1.57 eV/atom. The value obtained for the energy above the most stable polymorph in this dataset is 0.0 kJ per mole of atoms. The calculation puts the total DFT energy (no corrections) at -3.70 eV/atom.

Cell: 4.667 4.667 4.773 Å, 90.00 90.00 90.00°
Sites, in units of the cell vectors:
I1 0.000 0.000 0.500
Ru1 0.500 0.500 0.500
C1 0.000 0.000 0.000
Te1 0.000 0.500 0.000
Te2 0.500 0.000 0.000